(1)
Compound: AcSmNb2O8
Source: the Alexandria database
Functional: PBE-GGA
Structure: optimized geometry

The structure in POSCAR format:
```
AcSmNb2O8
1.0
-4.139 3.293 -1.315
-2.035 -3.862 -3.263
-0.047 -1.860 6.783
Ac Sm Nb O
1 1 2 8
direct
0.750 0.250 0.500 Ac
0.000 0.000 0.000 Sm
0.500 0.500 0.000 Nb
0.250 0.750 0.500 Nb
0.752 0.828 0.165 O
0.413 0.337 0.165 O
0.588 0.689 0.677 O
0.089 0.988 0.677 O
0.012 0.412 0.323 O
0.311 0.911 0.323 O
0.172 0.587 0.835 O
0.663 0.248 0.835 O
```


(2)
Compound: AcSm2NbO8
Source: the Alexandria database
Functional: PBE-GGA
Structure: optimized geometry

The structure in POSCAR format:
```
AcSm2NbO8
1.0
-0.254 -3.939 0.726
2.540 -1.047 -4.789
6.744 0.215 3.529
Ac Sm Nb O
1 2 1 8
direct
0.000 0.000 0.500 Ac
0.500 0.500 0.752 Sm
0.500 0.500 0.248 Sm
0.000 0.000 0.000 Nb
0.000 0.755 0.205 O
0.500 0.818 0.000 O
0.000 0.245 0.205 O
0.000 0.245 0.795 O
0.500 0.182 0.000 O
0.000 0.755 0.795 O
0.500 0.732 0.500 O
0.500 0.268 0.500 O
```


(3)
Compound: AcNbSnO6
Source: the Alexandria database
Functional: PBE-GGA
Structure: optimized geometry

The structure in POSCAR format:
```
AcNbSnO6
1.0
-1.866 -3.673 -3.582
4.368 3.036 -1.228
6.382 -7.440 4.304
Ac Nb Sn O
2 2 2 12
direct
0.000 0.000 0.000 Ac
0.000 0.000 0.500 Ac
0.333 0.667 0.250 Nb
0.667 0.333 0.750 Nb
0.667 0.333 0.250 Sn
0.333 0.667 0.750 Sn
0.621 0.630 0.144 O
0.009 0.379 0.144 O
0.379 0.009 0.644 O
0.991 0.621 0.856 O
0.370 0.379 0.356 O
0.009 0.630 0.356 O
0.630 0.009 0.856 O
0.621 0.991 0.356 O
0.991 0.370 0.644 O
0.370 0.991 0.144 O
0.630 0.621 0.644 O
0.379 0.370 0.856 O
```


(4)
Compound: SrAcNb2O8
Source: the Alexandria database
Functional: PBE-GGA
Structure: optimized geometry

The structure in POSCAR format:
```
SrAcNb2O8
1.0
-1.799 2.815 -4.440
-5.254 -0.803 1.620
3.720 4.096 4.566
Sr Ac Nb O
1 1 2 8
direct
0.750 0.250 0.500 Sr
0.000 0.000 0.000 Ac
0.500 0.500 0.000 Nb
0.250 0.750 0.500 Nb
0.742 0.825 0.170 O
0.427 0.345 0.170 O
0.574 0.681 0.674 O
0.100 0.993 0.674 O
0.007 0.426 0.326 O
0.319 0.900 0.326 O
0.175 0.573 0.830 O
0.655 0.258 0.830 O
```


(5)
Compound: Sr2AcNbO6
Source: the Alexandria database
Functional: PBE-GGA
Structure: optimized geometry

The structure in POSCAR format:
```
Sr2AcNbO6
1.0
5.973 0.000 -0.037
0.000 6.221 0.000
-0.001 0.000 8.605
Sr Ac Nb O
4 2 2 12
direct
0.015 0.952 0.255 Sr
0.515 0.548 0.755 Sr
0.985 0.048 0.745 Sr
0.485 0.452 0.245 Sr
0.500 0.000 0.000 Ac
0.000 0.500 0.500 Ac
0.500 0.000 0.500 Nb
0.000 0.500 0.000 Nb
0.276 0.677 0.050 O
0.776 0.823 0.550 O
0.724 0.323 0.950 O
0.224 0.177 0.450 O
0.329 0.729 0.431 O
0.829 0.771 0.931 O
0.671 0.271 0.569 O
0.171 0.229 0.069 O
0.890 0.553 0.222 O
0.390 0.947 0.722 O
0.110 0.447 0.778 O
0.610 0.053 0.278 O
```


(6)
Compound: AcTaNb2O8
Source: the Alexandria database
Functional: PBE-GGA
Structure: optimized geometry

The structure in POSCAR format:
```
AcTaNb2O8
1.0
4.979 0.073 0.001
0.123 4.976 -0.001
0.010 0.013 6.710
Ac Ta Nb O
1 1 2 8
direct
0.000 0.000 0.500 Ac
0.000 0.000 0.000 Ta
0.500 0.500 0.766 Nb
0.500 0.500 0.234 Nb
0.209 0.789 0.204 O
0.715 0.716 0.001 O
0.789 0.210 0.204 O
0.791 0.211 0.796 O
0.285 0.284 0.999 O
0.211 0.790 0.796 O
0.662 0.662 0.499 O
0.338 0.338 0.501 O
```


(7)
Compound: AcTb2NbO8
Source: the Alexandria database
Functional: PBE-GGA
Structure: optimized geometry

The structure in POSCAR format:
```
AcTb2NbO8
1.0
5.110 -0.032 -0.002
-0.003 5.113 -0.005
0.005 0.009 7.246
Ac Tb Nb O
1 2 1 8
direct
0.000 0.000 0.500 Ac
0.500 0.500 0.764 Tb
0.500 0.500 0.236 Tb
0.000 0.000 0.000 Nb
0.187 0.811 0.205 O
0.716 0.718 0.000 O
0.813 0.188 0.205 O
0.813 0.189 0.795 O
0.284 0.282 0.000 O
0.187 0.812 0.795 O
0.673 0.674 0.500 O
0.327 0.326 0.500 O
```


(8)
Compound: Ac2TbNbO8
Source: the Alexandria database
Functional: PBE-GGA
Structure: optimized geometry

The structure in POSCAR format:
```
Ac2TbNbO8
1.0
4.173 -0.028 -0.002
0.049 5.673 -0.005
0.004 0.011 7.401
Ac Tb Nb O
2 1 1 8
direct
0.500 0.500 0.750 Ac
0.500 0.500 0.250 Ac
0.000 0.000 0.500 Tb
0.000 0.000 0.000 Nb
0.999 0.767 0.210 O
0.498 0.868 0.999 O
0.001 0.233 0.210 O
0.001 0.233 0.790 O
0.502 0.132 0.001 O
0.999 0.767 0.790 O
0.499 0.761 0.500 O
0.501 0.239 0.500 O
```


(9)
Compound: AcNbTeO4
Source: the Alexandria database
Functional: PBE-GGA
Structure: optimized geometry

The structure in POSCAR format:
```
AcNbTeO4
1.0
-6.498 -3.242 -1.134
-2.080 -6.166 3.417
-4.038 2.686 5.646
Ac Nb Te O
2 2 2 8
direct
0.290 0.290 0.830 Ac
0.710 0.710 0.170 Ac
0.628 0.628 0.749 Nb
0.372 0.372 0.251 Nb
0.014 0.014 0.322 Te
0.986 0.986 0.678 Te
0.307 0.307 0.500 O
0.693 0.693 0.500 O
0.116 0.526 0.125 O
0.519 0.519 0.217 O
0.474 0.884 0.875 O
0.526 0.116 0.125 O
0.481 0.481 0.783 O
0.884 0.474 0.875 O
```


(10)
Compound: AcNb2TlO7
Source: the Alexandria database
Functional: PBE-GGA
Structure: optimized geometry

The structure in POSCAR format:
```
AcNb2TlO7
1.0
3.942 0.000 0.000
0.000 3.942 0.000
0.000 0.000 11.455
Ac Nb Tl O
1 2 1 7
direct
0.000 0.000 0.000 Ac
0.500 0.500 0.208 Nb
0.500 0.500 0.792 Nb
0.000 0.000 0.500 Tl
0.500 0.500 0.634 O
0.000 0.500 0.170 O
0.500 0.000 0.170 O
0.000 0.500 0.830 O
0.500 0.000 0.830 O
0.500 0.500 0.366 O
0.500 0.500 0.000 O
```


(11)
Compound: AcNbTl2O8
Source: the Alexandria database
Functional: PBE-GGA
Structure: optimized geometry

The structure in POSCAR format:
```
AcNbTl2O8
1.0
5.236 0.145 -0.003
0.190 4.677 -0.005
0.005 0.008 7.420
Ac Nb Tl O
1 1 2 8
direct
0.000 0.000 0.500 Ac
0.000 0.000 0.000 Nb
0.500 0.500 0.788 Tl
0.500 0.500 0.212 Tl
0.150 0.764 0.213 O
0.698 0.766 0.000 O
0.850 0.236 0.213 O
0.850 0.236 0.787 O
0.302 0.234 0.000 O
0.150 0.764 0.787 O
0.535 0.842 0.500 O
0.465 0.158 0.500 O
```


(12)
Compound: AcNbTlO4
Source: the Alexandria database
Functional: PBE-GGA
Structure: optimized geometry

The structure in POSCAR format:
```
AcNbTlO4
1.0
-1.507 6.263 -2.569
-6.117 -0.963 1.240
1.809 -0.169 8.789
Ac Nb Tl O
2 2 2 8
direct
0.779 0.750 0.412 Ac
0.221 0.250 0.588 Ac
0.260 0.750 0.366 Nb
0.740 0.250 0.634 Nb
0.418 0.750 0.936 Tl
0.582 0.250 0.064 Tl
0.920 0.473 0.623 O
0.080 0.973 0.377 O
0.080 0.527 0.377 O
0.920 0.027 0.623 O
0.379 0.750 0.213 O
0.621 0.250 0.787 O
0.510 0.750 0.554 O
0.490 0.250 0.446 O
```


| no. | uncorrected formation energy (eV/atom) | total magnetic moment (μB per formula unit) |
| --- | --- | --- |
| 1 | -3.070 | 0.000 |
| 2 | -2.741 | 1.908 |
| 3 | -2.551 | 0.000 |
| 4 | -2.770 | 1.101 |
| 5 | -2.947 | 0.000 |
| 6 | -2.673 | 0.004 |
| 7 | -2.787 | 1.546 |
| 8 | -2.764 | 0.000 |
| 9 | -2.442 | 0.970 |
| 10 | -2.583 | 0.000 |
| 11 | -1.565 | 0.000 |
| 12 | -2.337 | 0.000 |